Here is an optimized crystal structure of Mg3CdPt2 from Alexandria via LeMat-Bulk. Energies are from PBE-GGA.

Geometry as CIF:
```
data_Mg3CdPt2
_symmetry_space_group_name_H-M 'P 4/m m m'
_symmetry_Int_Tables_number 123
_symmetry_space_group_name_Hall '-P 4 2'
_cell_length_a 3.0504
_cell_length_b 3.0504
_cell_length_c 11.4786
_cell_angle_alpha 90.00
_cell_angle_beta 90.00
_cell_angle_gamma 90.00
loop_
_atom_site_label
_atom_site_fract_x
_atom_site_fract_y
_atom_site_fract_z
_atom_site_occupancy
Mg1 0.0000 0.0000 0.0000 1
Mg2 0.0000 0.0000 0.2961 1
Cd1 0.5000 0.5000 0.5000 1
Pt1 0.5000 0.5000 0.1518 1
```

Properties
DOS(E_F)	2.05	states/eV per cell
calculated volume	106.8	Å³/f.u.
energy relative to the elements	-3.83	eV/f.u.
ρ	8.95	g/cm³